1.
A geometry-optimized FeAs2PSe structure. Source: Alexandria, functional PBE.

a b c (Å): 4.3794 4.3794 5.0878
angles (deg): 90.00 90.00 90.00
Closest atoms and distances in Å follow each position.
Fractional coordinates of all 5 atoms:
1 P 0.5000 0.5000 0.5000  4 Se 3.10, 8 As 3.36
2 As 0.0000 0.5000 0.0000  2 Fe 2.19
3 As 0.5000 0.0000 0.0000  2 Fe 2.19
4 Fe 0.0000 0.0000 0.0000  4 As 2.19
5 Se 0.0000 0.0000 0.5000  2 Fe 2.54

Computed properties:
Raw total energy: -23.50 eV per formula unit
Formation energy (no corrections): 0.63 eV per atom
Calculated volume: 19.5 Å³/atom
ΔE to the lowest computed polymorph: 0.0 meV per atom


2.
A geometry-optimized Pr4Al2Zn structure. Source: Alexandria, functional PBE.

a b c (Å): 5.2742 5.2742 9.0230
angles (deg): 73.01 73.01 60.00
Closest atoms and distances in Å follow each position.
Fractional coordinates of all 7 atoms:
1 Pr 0.8727 0.8727 0.3818  4 Al 3.19-3.27, 1 Zn 3.24
2 Pr 0.1273 0.1273 0.6182  4 Al 3.19-3.27, 1 Zn 3.24
3 Pr 0.6214 0.6214 0.1359  4 Al 3.18-3.21, 3 Zn 3.26
4 Pr 0.3786 0.3786 0.8641  4 Al 3.18-3.21, 3 Zn 3.26
5 Zn 0.0000 0.0000 0.0000  8 Pr 3.24-3.26
6 Al 0.7475 0.7475 0.7576  8 Pr 3.18-3.27
7 Al 0.2525 0.2525 0.2424  8 Pr 3.18-3.27

Computed properties:
Raw total energy: -29.37 eV per formula unit
E_form: -213 meV/atom
Calculated volume: 29.2 Å³/atom


3.
A geometry-optimized SrCaSc2 structure. Source: Alexandria, functional PBE.

a b c (Å): 5.7755 3.4809 6.8000
angles (deg): 78.72 90.00 90.00
Closest atoms and distances in Å follow each position.
Fractional coordinates of all 4 atoms:
1 Sc 0.0000 0.9599 0.9707  4 Sc 3.27-3.59, 2 Ca 3.40
2 Sc 0.0000 0.5401 0.5293  4 Sc 3.27-3.59, 2 Ca 3.40
3 Sr 0.5000 0.2500 0.2500  2 Sr 3.48, 2 Ca 3.50, 4 Sc 3.70
4 Ca 0.5000 0.7500 0.7500  4 Sc 3.40, 2 Ca 3.48, 2 Sr 3.50

Computed properties:
Raw total energy: -15.01 eV per formula unit
E_form: 333 meV/atom
Calculated volume: 33.5 Å³/atom
ΔE to the lowest computed polymorph: 169.3 meV per atom


4.
A geometry-optimized TcAs2 structure. Source: Alexandria, functional PBE.

a b c (Å): 16.9076 16.9076 16.9076
angles (deg): 167.70 167.70 17.42
Closest atoms and distances in Å follow each position.
Fractional coordinates of all 12 atoms:
1 As 0.7195 0.7195 0.0000  2 As 2.61, 2 Tc 2.72
2 As 0.2805 0.2805 0.0000  2 As 2.61, 2 Tc 2.72
3 As 0.9695 0.4695 0.5000  2 As 2.61, 2 Tc 2.72
4 As 0.5305 0.0305 0.5000  2 As 2.61, 2 Tc 2.72
5 As 0.5867 0.5867 0.0000  4 Tc 2.57, 2 As 2.61
6 As 0.4133 0.4133 0.0000  4 Tc 2.57, 2 As 2.61
7 As 0.8367 0.3367 0.5000  4 Tc 2.57, 2 As 2.61
8 As 0.6633 0.1633 0.5000  4 Tc 2.57, 2 As 2.61
9 Tc 0.9087 0.9087 0.0000  6 As 2.57-2.72
10 Tc 0.0913 0.0913 0.0000  6 As 2.57-2.72
11 Tc 0.1587 0.6587 0.5000  6 As 2.57-2.72
12 Tc 0.3413 0.8413 0.5000  6 As 2.57-2.72

Computed properties:
Raw total energy: -18.81 eV per formula unit
E_form: 287 meV/atom
Calculated volume: 18.3 Å³/atom
ΔE to the lowest computed polymorph: 478.0 meV per atom


5.
A geometry-optimized CdBIr2Rh structure. Source: Alexandria, functional PBE.

a b c (Å): 4.1563 4.1563 4.1775
angles (deg): 90.00 90.00 90.00
Closest atoms and distances in Å follow each position.
Fractional coordinates of all 5 atoms:
1 B 0.0000 0.0000 0.0000  4 Ir 2.08, 2 Rh 2.09
2 Ir 0.0000 0.5000 0.0000  2 B 2.08
3 Ir 0.5000 0.0000 0.0000  2 B 2.08
4 Rh 0.0000 0.0000 0.5000  2 B 2.09
5 Cd 0.5000 0.5000 0.5000  4 Rh 2.94, 8 Ir 2.95

Computed properties:
Raw total energy: -32.91 eV per formula unit
E_form: -50 meV/atom
Calculated volume: 14.4 Å³/atom


6.
A geometry-optimized BaCa2Cl structure. Source: Alexandria, functional PBE.

a b c (Å): 7.9301 7.9301 4.1177
angles (deg): 75.18 75.18 127.81
Closest atoms and distances in Å follow each position.
Fractional coordinates of all 4 atoms:
1 Ca 0.0000 0.0000 0.0000  4 Ca 3.49-3.52
2 Ca 0.5000 0.5000 0.0000  4 Ca 3.49-3.52
3 Ba 0.0000 0.5000 0.5000  4 Cl 3.49-3.52
4 Cl 0.5000 0.0000 0.5000  4 Ba 3.49-3.52

Computed properties:
Raw total energy: -9.93 eV per formula unit
Formation energy (no corrections): -0.54 eV per atom
Calculated volume: 41.6 Å³/atom
ΔE to the lowest computed polymorph: 225.1 meV per atom